# 1
VASP calculation (PBE with a Hubbard U) on crystalline PRuWO2 at its relaxed geometry.

Geometry as extended XYZ:
```
5
Lattice="3.783 0.000 0.000 0.000 3.783 0.000 0.000 0.000 5.435" Properties=species:S:1:pos:R:3 pbc="T T T"
O 1.892 0.000 0.000
O 0.000 1.892 0.000
P 0.000 0.000 2.717
Ru 1.892 1.892 2.717
W 0.000 0.000 0.000
```

Results
Space-group type: P4/mmm
Energy relative to the lowest polymorph listed for this composition: 0.000 eV/atom
Theoretical density: 7.426 Mg/m³

=====

# 2
VASP calculation (PBE with a Hubbard U) on crystalline PRuWO2 at its relaxed geometry.

Geometry as extended XYZ:
```
5
Lattice="3.755 0.000 0.000 0.000 3.755 0.000 0.000 0.000 5.352" Properties=species:S:1:pos:R:3 pbc="T T T"
P 0.000 0.000 2.676
Ru 0.000 0.000 0.000
O 0.000 1.878 0.000
W 1.878 1.878 2.676
O 1.878 0.000 0.000
```

Results
Space-group type: P4/mmm
Energy relative to the lowest polymorph listed for this composition: 0.336 eV/atom
Theoretical density: 7.654 Mg/m³